No. 1
Here is a geometry-optimized La3CdOs structure from Alexandria. Energies are from PBEsol.

a b c (Å): 5.499 5.499 5.499
angles (deg): 90.00 90.00 90.00
Fractional positions:
La: 0.000 0.000 0.500
La: 0.000 0.500 0.000
La: 0.500 0.000 0.000
Cd: 0.500 0.500 0.500
Os: 0.000 0.000 0.000

SG   Pm-3m, No. 221
DOS at the Fermi energy   4.38 states/eV/cell
E_form   -0.201 eV per formula unit

---

No. 2
Here is a geometry-optimized MgScCd2 structure from Alexandria. Energies are from PBEsol.

a b c (Å): 3.184 4.699 5.895
angles (deg): 90.00 105.66 90.00
Fractional positions:
Mg: 0.000 0.000 0.000
Sc: 0.666 0.500 0.330
Cd: 0.259 0.000 0.517
Cd: 0.403 0.500 0.809

SG   Pm, No. 6
DOS at the Fermi energy   2.33 states/eV/cell
E_form   -0.819 eV per formula unit

---

No. 3
Here is a geometry-optimized NiRu2AuBr structure from Alexandria. Energies are from PBEsol.

a b c (Å): 4.907 4.907 4.906
angles (deg): 90.00 90.00 90.00
Fractional positions:
Ni: 0.000 0.000 0.000
Ru: 0.000 0.500 0.500
Ru: 0.500 0.000 0.500
Au: 0.500 0.500 0.500
Br: 0.500 0.500 0.000

SG   P4/mmm, No. 123
DOS at the Fermi energy   11.33 states/eV/cell
E_form (uncorrected)   2383 meV per atom

---

No. 4
Here is a geometry-optimized Ca2YRh structure from Alexandria. Energies are from PBEsol.

a b c (Å): 3.688 8.373 8.373
angles (deg): 27.73 90.00 90.00
Fractional positions:
Ca: 0.000 0.000 0.000
Ca: 0.500 0.325 0.325
Y: 0.500 0.648 0.648
Rh: 0.000 0.180 0.180

SG   Amm2, No. 38
DOS at the Fermi energy   3.05 states/eV/cell
E_form   -1.213 eV per formula unit
Energy relative to the lowest polymorph listed for this composition   0.0 kJ/mol of atoms

---

No. 5
Here is a geometry-optimized PrPtF7 structure from Alexandria. Energies are from PBEsol.

a b c (Å): 9.120 5.567 12.198
angles (deg): 90.00 118.39 90.00
Fractional positions:
Pr: 0.189 0.239 0.264
Pr: 0.189 0.261 0.764
Pr: 0.811 0.739 0.236
Pr: 0.811 0.761 0.736
Pt: 0.273 0.744 0.042
Pt: 0.273 0.756 0.542
Pt: 0.727 0.244 0.458
Pt: 0.727 0.256 0.958
F: 0.031 0.742 0.951
F: 0.031 0.758 0.451
F: 0.037 0.605 0.730
F: 0.037 0.895 0.230
F: 0.260 0.562 0.173
F: 0.260 0.938 0.673
F: 0.272 0.037 0.128
F: 0.272 0.463 0.628
F: 0.282 0.053 0.462
F: 0.282 0.447 0.962
F: 0.291 0.569 0.414
F: 0.291 0.931 0.914
F: 0.486 0.237 0.362
F: 0.486 0.263 0.862
F: 0.514 0.737 0.138
F: 0.514 0.763 0.638
F: 0.709 0.069 0.086
F: 0.709 0.431 0.586
F: 0.718 0.553 0.038
F: 0.718 0.947 0.538
F: 0.728 0.537 0.372
F: 0.728 0.963 0.872
F: 0.740 0.062 0.327
F: 0.740 0.438 0.827
F: 0.963 0.105 0.770
F: 0.963 0.395 0.270
F: 0.969 0.242 0.549
F: 0.969 0.258 0.049

SG   P2_1/c, No. 14
DOS at the Fermi energy   0.00 states/eV/cell
E_form (uncorrected)   -2578 meV per atom

---

No. 6
Here is a geometry-optimized Mo3WSe2S6 structure from Alexandria. Energies are from PBEsol.

a b c (Å): 3.170 3.170 25.249
angles (deg): 90.00 90.00 120.00
Fractional positions:
Mo: 0.000 0.000 0.000
Mo: 0.000 0.000 0.498
Mo: 0.667 0.333 0.245
W: 0.667 0.333 0.754
Se: 0.667 0.333 0.431
Se: 0.667 0.333 0.566
S: 0.000 0.000 0.184
S: 0.000 0.000 0.307
S: 0.000 0.000 0.692
S: 0.000 0.000 0.815
S: 0.667 0.333 0.061
S: 0.667 0.333 0.939

SG   P3m1, No. 156
E_form (uncorrected)   -879 meV per atom

---

No. 7
Here is a geometry-optimized ScMo structure from Alexandria. Energies are from PBEsol.

a b c (Å): 4.625 4.625 4.625
angles (deg): 60.00 60.00 60.00
Fractional positions:
Sc: 0.125 0.125 0.125
Sc: 0.875 0.875 0.875
Mo: 0.375 0.375 0.375
Mo: 0.625 0.625 0.625

SG   Fd-3m, No. 227
DOS at the Fermi energy   5.82 states/eV/cell
E_form   0.319 eV per formula unit
Energy relative to the lowest polymorph listed for this composition   15.1 kJ/mol of atoms

---

No. 8
Here is a geometry-optimized TaCoW2 structure from Alexandria. Energies are from PBEsol.

a b c (Å): 3.167 3.167 5.921
angles (deg): 90.00 90.00 90.00
Fractional positions:
Ta: 0.000 0.000 0.000
Co: 0.000 0.000 0.500
W: 0.500 0.500 0.268
W: 0.500 0.500 0.732

SG   P4/mmm, No. 123
DOS at the Fermi energy   3.93 states/eV/cell
E_form   0.669 eV per formula unit
Energy relative to the lowest polymorph listed for this composition   11.5 kJ/mol of atoms

---

No. 9
Here is a geometry-optimized CoRe3 structure from Alexandria. Energies are from PBEsol.

a b c (Å): 2.698 4.298 4.676
angles (deg): 90.00 90.00 90.00
Fractional positions:
Co: 0.000 0.000 0.000
Re: 0.000 0.500 0.335
Re: 0.500 0.000 0.516
Re: 0.500 0.500 0.849

SG   Pmm2, No. 25
DOS at the Fermi energy   4.16 states/eV/cell
E_form   0.023 eV per formula unit

---

No. 10
Here is a geometry-optimized CdTeW2 structure from Alexandria. Energies are from PBEsol.

a b c (Å): 9.186 9.186 9.186
angles (deg): 20.19 20.19 20.19
Fractional positions:
Cd: 0.000 0.000 0.000
Te: 0.230 0.230 0.230
W: 0.484 0.484 0.484
W: 0.753 0.753 0.753

SG   R3m, No. 160
DOS at the Fermi energy   1.19 states/eV/cell
E_form (uncorrected)   455 meV per atom
Energy relative to the lowest polymorph listed for this composition   0.0 kJ/mol of atoms

---

No. 11
Here is a geometry-optimized CrMo2Pb structure from Alexandria. Energies are from PBEsol.

a b c (Å): 8.654 8.654 8.654
angles (deg): 20.10 20.10 20.10
Fractional positions:
Cr: 0.000 0.000 0.000
Mo: 0.264 0.264 0.264
Mo: 0.736 0.736 0.736
Pb: 0.500 0.500 0.500

SG   R-3m, No. 166
DOS at the Fermi energy   3.41 states/eV/cell
E_form   2.689 eV per formula unit

---

No. 12
Here is a geometry-optimized Ca2MoAu structure from Alexandria. Energies are from PBEsol.

a b c (Å): 5.358 5.358 5.358
angles (deg): 130.29 130.29 72.94
Fractional positions:
Ca: 0.250 0.750 0.500
Ca: 0.750 0.250 0.500
Mo: 0.000 0.000 0.000
Au: 0.500 0.500 0.000

SG   I4/mmm, No. 139
DOS at the Fermi energy   3.29 states/eV/cell
E_form   1.766 eV per formula unit
Energy relative to the lowest polymorph listed for this composition   0.0 kJ/mol of atoms